Entry 1:
This record from Alexandria describes Os2Pb2O7 after structural relaxation. The functional is PBE-GGA.

uncorrected formation energy	-0.883	eV per atom
E above lowest polymorph	150.3	meV per atom
crystal system	monoclinic
DOS at the Fermi energy	3.8	states/eV per cell
space-group type	C2/m (12)
uncorrected energy	-74.30	eV per cell

a b c (Å): 5.724 6.302 6.302
angles (deg): 116.52 95.68 95.68
Each line ends with the local moment (μB).
Fractional positions:
Os (0.895, 0.258, 0.258)  0.50
Os (0.105, 0.742, 0.742)  0.50
Pb (0.500, 0.305, 0.695)  0.01
Pb (0.500, 0.695, 0.305)  0.01
O (0.276, 0.932, 0.637)  0.05
O (0.724, 0.363, 0.068)  0.05
O (0.724, 0.068, 0.363)  0.05
O (0.276, 0.637, 0.932)  0.05
O (0.000, 0.000, 0.000)  0.23
O (0.807, 0.555, 0.555)  0.00
O (0.193, 0.445, 0.445)  0.00

***

Entry 2:
This record from Alexandria describes OsPbO6 after structural relaxation. The functional is PBE-GGA.

uncorrected formation energy	-0.476	eV per atom
crystal system	trigonal
DOS at the Fermi energy	5.6	states/eV per cell
space-group type	R-3m (166)
uncorrected energy	-48.49	eV per cell

a b c (Å): 4.765 4.765 4.765
angles (deg): 96.22 96.22 96.22
Each line ends with the local moment (μB).
Fractional positions:
Os (0.500, 0.500, 0.500)  -0.21
Pb (0.000, 0.000, 0.000)  0.04
O (0.226, 0.592, 0.226)  0.30
O (0.226, 0.226, 0.592)  0.30
O (0.774, 0.408, 0.774)  0.30
O (0.408, 0.774, 0.774)  0.30
O (0.774, 0.774, 0.408)  0.30
O (0.592, 0.226, 0.226)  0.30

***

Entry 3:
This record from Alexandria describes OsPbO3 after structural relaxation. The functional is PBE-GGA.

uncorrected formation energy	-0.790	eV per atom
crystal system	cubic
DOS at the Fermi energy	2.6	states/eV per cell
space-group type	Pm-3m (221)
uncorrected energy	-33.76	eV per cell

a b c (Å): 3.983 3.983 3.983
angles (deg): 90.00 90.00 90.00
Each line ends with the local moment (μB).
Fractional positions:
Pb (0.500, 0.500, 0.500)  0.01
Os (0.000, 0.000, 0.000)  0.80
O (0.000, 0.500, 0.000)  0.05
O (0.000, 0.000, 0.500)  0.02
O (0.500, 0.000, 0.000)  0.21

***

Entry 4:
This record from Alexandria describes Os2PbO8 after structural relaxation. The functional is PBE-GGA.

uncorrected formation energy	-0.947	eV per atom
E above lowest polymorph	0.0	meV per atom
crystal system	monoclinic
space-group type	C2/m (12)
uncorrected energy	-76.25	eV per cell

a b c (Å): 5.696 6.731 6.731
angles (deg): 73.95 85.84 85.84
Fractional positions:
Os (0.541, 0.224, 0.224)
Os (0.459, 0.776, 0.776)
Pb (0.000, 0.000, 0.000)
O (0.293, 0.021, 0.706)
O (0.293, 0.706, 0.021)
O (0.707, 0.979, 0.294)
O (0.391, 0.624, 0.624)
O (0.707, 0.294, 0.979)
O (0.245, 0.188, 0.188)
O (0.755, 0.812, 0.812)
O (0.609, 0.376, 0.376)

***

Entry 5:
This record from Alexandria describes Os2PbO6 after structural relaxation. The functional is PBE-GGA.

uncorrected formation energy	-0.999	eV per atom
crystal system	trigonal
DOS at the Fermi energy	2.6	states/eV per cell
space-group type	P-31m (162)
uncorrected energy	-64.90	eV per cell

a b c (Å): 5.372 5.372 7.455
angles (deg): 68.90 68.90 120.00
Fractional positions:
Os (0.333, 0.167, 0.500)
Os (0.667, 0.833, 0.500)
Pb (0.500, 0.000, 0.000)
O (0.801, 0.920, 0.700)
O (0.580, 0.699, 0.300)
O (0.199, 0.080, 0.300)
O (0.420, 0.301, 0.700)
O (0.181, 0.681, 0.699)
O (0.819, 0.319, 0.301)

***

Entry 6:
This record from Alexandria describes OsPb3O after structural relaxation. The functional is PBE-GGA.

uncorrected formation energy	0.549	eV per atom
E above lowest polymorph	36.9	meV per atom
crystal system	cubic
DOS at the Fermi energy	2.2	states/eV per cell
space-group type	Pm-3m (221)
uncorrected energy	-24.57	eV per cell

a b c (Å): 4.829 4.829 4.829
angles (deg): 90.00 90.00 90.00
Fractional positions:
Pb (0.000, 0.500, 0.000)
Pb (0.000, 0.000, 0.500)
Pb (0.500, 0.000, 0.000)
Os (0.500, 0.500, 0.500)
O (0.000, 0.000, 0.000)